The following is a GGA-PBE calculation of crystalline Pd2RhCl at its relaxed geometry, from Alexandria via LeMat-Bulk.

Values from the calculation:
As for the energy above the lowest structure with this stoichiometry: 0.00 eV/f.u.

Cell lengths 7.125, 7.125, 5.249 Å; angles 90.00, 90.00, 90.00 degrees
Fractional positions:
Pd (0.237, 0.250, 0.125)
Pd (0.250, 0.737, 0.375)
Pd (0.250, 0.763, 0.875)
Pd (0.263, 0.250, 0.625)
Pd (0.737, 0.750, 0.625)
Pd (0.750, 0.237, 0.875)
Pd (0.750, 0.263, 0.375)
Pd (0.763, 0.750, 0.125)
Rh (0.000, 0.000, 0.500)
Rh (0.000, 0.500, 0.750)
Rh (0.500, 0.000, 0.250)
Rh (0.500, 0.500, 0.000)
Cl (0.000, 0.000, 0.000)
Cl (0.000, 0.500, 0.250)
Cl (0.500, 0.000, 0.750)
Cl (0.500, 0.500, 0.500)

The following is a GGA-PBE calculation of crystalline La2TiInS at its relaxed geometry, from Alexandria via LeMat-Bulk.

Cell lengths 5.409, 5.409, 5.227 Å; angles 90.00, 90.00, 90.00 degrees
Fractional positions:
La (0.000, 0.500, 0.000)
La (0.500, 0.000, 0.000)
Ti (0.000, 0.000, 0.500)
In (0.500, 0.500, 0.500)
S (0.500, 0.500, 0.000)

no.,E_tot (eV per atom),size of the total moment (μB/f.u.)
1,-4.393,0.00
2,-5.075,0.00